Here is crystalline FePIO2 at its relaxed geometry from Alexandria. Energies are from GGA+U.

## Properties
- ΔE to the lowest computed polymorph: 547.2 meV/atom
- Calculated volume: 87.7 Å³ per cell
- DOS(E_F): 1.338 states/eV per atom

Structure (extended XYZ):
```
5
Lattice="3.961 0.000 0.000 0.000 3.961 0.000 0.000 0.000 5.587" Properties=species:S:1:pos:R:3 pbc="T T T"
Fe 0.000 0.000 0.000
P 1.981 1.981 0.000
I 1.981 1.981 2.793
O 0.000 1.981 2.793
O 1.981 0.000 2.793
```